# 1
## HoTlNiRh (GGA-PBE)

Data for an optimized crystal structure of HoTlNiRh.

Calculated values
Space group: No. 216
VASP energy in eV/f.u.: -21.460
DFT formation energy in kJ per mole of atoms: -33.4

Structure (POSCAR):
```
HoTlNiRh
1.0
-3.582 -0.037 -3.032
-0.688 -3.723 -2.774
-3.670 -2.831 0.738
Tl Ni Rh Ho
1 1 1 1
Direct
0.000 0.000 0.000
0.250 0.250 0.250
0.750 0.750 0.750
0.500 0.500 0.500
```

# 2
## YHo3Ru4 (GGA-PBE)

Data for an optimized crystal structure of YHo3Ru4.

Calculated values
Space group: No. 123
VASP energy in eV/f.u.: -59.938
DFT formation energy in kJ per mole of atoms: -31.8

Structure (POSCAR):
```
YHo3Ru4
1.0
4.789 0.000 0.000
0.000 6.798 0.000
0.000 0.000 9.579
Ru Y Ho
8 2 6
Direct
0.000 0.752 0.750
0.500 0.248 0.000
0.000 0.752 0.250
0.500 0.752 0.500
0.000 0.248 0.750
0.500 0.248 0.500
0.500 0.752 0.000
0.000 0.248 0.250
0.000 0.500 0.000
0.000 0.500 0.500
0.500 0.000 0.750
0.500 0.500 0.250
0.000 0.000 0.000
0.000 0.000 0.500
0.500 0.500 0.750
0.500 0.000 0.250
```

# 3
## TlH8Os2 (GGA-PBE)

Data for an optimized crystal structure of TlH8Os2.

Calculated values
Space group: No. 8
VASP energy in eV/f.u.: -48.998

Structure (POSCAR):
```
TlH8Os2
1.0
5.759 0.074 -0.045
-0.069 4.177 -2.229
0.041 -0.156 4.733
H Tl Os
8 1 2
Direct
0.388 0.350 0.350
0.668 0.997 0.301
0.668 0.301 0.997
0.831 0.663 0.329
0.388 0.645 0.997
0.388 0.997 0.645
0.669 0.692 0.692
0.831 0.329 0.663
0.065 0.997 0.997
0.552 0.330 0.664
0.552 0.664 0.330
```

# 4
## BiP2PbCl (GGA-PBE)

Data for an optimized crystal structure of BiP2PbCl.

Calculated values
ΔE_f (raw) in eV/atom: 0.70
Space group: No. 123
VASP energy in eV/f.u.: -16.737
Offset from the most stable computed form in eV/atom: 0.090

Structure (POSCAR):
```
BiP2PbCl
1.0
-5.171 0.062 -1.598
-1.560 -1.379 4.996
-0.340 5.089 1.298
Bi Pb P Cl
1 1 2 1
Direct
0.500 0.500 0.500
0.000 0.000 0.000
0.000 0.500 0.000
0.500 0.000 0.000
0.000 0.000 0.500
```

# 5
## PmU3Tl4O12 (GGA-PBE)

Data for an optimized crystal structure of PmU3Tl4O12.

Calculated values
ΔE_f (raw) in eV/atom: -2.51
Space group: No. 229
VASP energy in eV/f.u.: -157.723

Structure (POSCAR):
```
PmU3Tl4O12
1.0
7.591 0.000 0.000
-2.530 7.157 0.000
-2.530 -3.578 6.198
Tl Pm O U
4 1 12 3
Direct
0.500 0.000 0.000
0.000 0.000 0.500
0.000 0.500 0.000
0.500 0.500 0.500
0.000 0.000 0.000
0.250 0.500 0.750
0.750 0.500 0.250
0.000 0.270 0.270
0.250 0.750 0.500
0.270 0.000 0.270
0.730 0.730 0.000
0.270 0.270 0.000
0.000 0.730 0.730
0.500 0.750 0.250
0.500 0.250 0.750
0.730 0.000 0.730
0.750 0.250 0.500
0.000 0.500 0.500
0.500 0.500 0.000
0.500 0.000 0.500
```

# 6
## NaHoBiPd (GGA-PBE)

Data for an optimized crystal structure of NaHoBiPd.

Calculated values
Space group: No. 216
VASP energy in eV/f.u.: -16.890
DFT formation energy in kJ per mole of atoms: -46.3

Structure (POSCAR):
```
NaHoBiPd
1.0
-0.386 4.950 1.317
-3.432 3.021 -2.341
-4.130 1.661 2.563
Pd Ho Na Bi
1 1 1 1
Direct
0.250 0.250 0.250
0.500 0.500 0.500
0.000 0.000 0.000
0.750 0.750 0.750
```

Question: The lowest VASP energy belongs to which entry?
Answer: PmU3Tl4O12

Question: Which value of VASP energy does entry 2 give?
Answer: -59.938 eV/f.u.